1.
A relaxed MnFe2Se crystal, computed with PBE.

a b c (Å): 4.8235 4.8235 4.8235
angles (deg): 136.01 136.01 63.96
Last column: nearest neighbours and their distance in Å.
Fractional positions:
1 Fe 0.0000 0.0000 0.0000  4 Fe 2.55, 4 Mn 2.73, 4 Se 2.73
2 Fe 0.5000 0.5000 0.0000  4 Fe 2.55, 4 Se 2.73, 4 Mn 2.73
3 Mn 0.2500 0.7500 0.5000  4 Se 2.55, 8 Fe 2.73
4 Se 0.7500 0.2500 0.5000  4 Mn 2.55, 8 Fe 2.73

Output
The calculation puts the theoretical density at 7.636 g cm⁻³. The calculation puts the total energy at -7.17 eV/atom. As for the uncorrected formation energy: 0.22 eV per atom. Its space-group type is No. 139.

---

2.
A relaxed Be2CrTc crystal, computed with PBE.

a b c (Å): 4.4396 4.4396 2.4763
angles (deg): 83.19 83.19 112.92
Last column: nearest neighbours and their distance in Å.
Fractional positions:
1 Be 0.5000 0.5000 0.0000  4 Tc 2.41-2.67, 4 Cr 2.41-2.67, 4 Be 2.45-2.48
2 Be 0.0000 0.0000 0.0000  4 Cr 2.41-2.67, 4 Tc 2.41-2.67, 4 Be 2.45-2.48
3 Tc 0.0000 0.5000 0.5000  8 Be 2.41-2.67, 2 Cr 2.45, 2 Tc 2.48
4 Cr 0.5000 0.0000 0.5000  8 Be 2.41-2.67, 2 Tc 2.45, 2 Cr 2.48

Output
The calculation puts the theoretical density at 6.355 g cm⁻³. The calculation puts the total energy at -6.82 eV/atom. Its space-group type is No. 12. As for the formation energy from the elements: 43.4 meV/atom. The polymorph energy (0 for the lowest one) comes out at 131 meV per atom.

---

3.
A relaxed LiPd5Pb3 crystal, computed with PBE.

a b c (Å): 5.7671 8.1795 8.1826
angles (deg): 119.99 90.00 90.00
Last column: nearest neighbours and their distance in Å.
Fractional positions:
1 Pd 0.7500 0.0000 0.3116  5 Pb 2.73-2.90, 2 Li 2.93
2 Pd 0.2500 0.3116 0.3116  5 Pb 2.73-2.90, 2 Li 2.93
3 Pd 0.7500 0.3114 0.0000  5 Pb 2.73-2.90, 2 Li 2.93
4 Pd 0.5000 0.6667 0.3334  8 Pd 2.88-3.17, 6 Pb 3.02
5 Pd 0.0000 0.6667 0.3334  8 Pd 2.88-3.17, 6 Pb 3.02
6 Pd 0.2500 0.6886 0.0000  5 Pb 2.73-2.90, 2 Li 2.93
7 Pd 0.7500 0.6884 0.6884  5 Pb 2.73-2.90, 2 Li 2.93
8 Pd 0.2500 0.0000 0.6884  5 Pb 2.73-2.90, 2 Li 2.93
9 Pd 0.5000 0.3333 0.6666  8 Pd 2.88-3.17, 6 Pb 3.02
10 Pd 0.0000 0.3333 0.6666  8 Pd 2.88-3.17, 6 Pb 3.02
11 Pb 0.7500 0.0001 0.6476  9 Pd 2.73-3.02
12 Pb 0.2500 0.9999 0.3524  9 Pd 2.73-3.02
13 Pb 0.2500 0.6475 0.6476  9 Pd 2.73-3.02
14 Pb 0.2500 0.3524 0.0000  9 Pd 2.73-3.02
15 Pb 0.7500 0.3525 0.3524  9 Pd 2.73-3.02
16 Pb 0.7500 0.6476 0.0000  9 Pd 2.73-3.02
17 Li 0.5000 0.0000 0.0000  2 Li 2.88, 6 Pd 2.93, 6 Pb 3.22
18 Li 0.0000 0.0000 0.0000  2 Li 2.88, 6 Pd 2.93, 6 Pb 3.22

Output
The calculation puts the theoretical density at 11.530 g cm⁻³. The calculation puts the total energy at -4.60 eV/atom. Its space-group type is No. 193. As for the formation energy from the elements: -268.2 meV/atom. The polymorph energy (0 for the lowest one) comes out at 0 meV per atom.